1.
Density functional theory data (PBE-GGA) for crystalline Pu2Si6OsPt at its relaxed geometry.

Computed properties:
energy: -7.60 eV/atom
SG: No. 225
calculated volume: 206 Å³ per cell

Unit cell a=6.6270 b=6.6270 c=6.6270 alpha=60.00 beta=60.00 gamma=90.00
Site moments in Bohr magnetons follow the coordinates.
Atoms (fractional coordinates):
Pu  0.2500  0.7500  0.5000  5.33
Pu  0.7500  0.2500  0.5000  5.33
Pt  0.0000  0.0000  0.0000  -0.01
Si  0.7487  0.2513  0.0000  -0.02
Si  0.7487  0.7487  0.0000  -0.02
Si  0.7487  0.7487  0.5026  -0.02
Si  0.2513  0.2513  0.0000  -0.02
Si  0.2513  0.2513  0.4974  -0.02
Si  0.2513  0.7487  0.0000  -0.02
Os  0.5000  0.5000  0.0000  0.05

---

2.
Density functional theory data (PBE-GGA) for crystalline SrCa2AcRh at its relaxed geometry.

Computed properties:
SG: No. 123
calculated formation energy: -0.28 eV/atom
calculated volume: 192 Å³ per cell

Unit cell a=5.7332 b=5.7877 c=5.7877 alpha=90.00 beta=90.00 gamma=90.00
Atoms (fractional coordinates):
Ca  0.0000  0.5000  0.0000
Ca  0.0000  0.0000  0.5000
Rh  0.0000  0.0000  0.0000
Sr  0.5000  0.5000  0.5000
Ac  0.5000  0.0000  0.0000

---

3.
Density functional theory data (PBE-GGA) for crystalline InCuTc3 at its relaxed geometry.

Computed properties:
excess energy over the best structure of this formula in the dataset: 0.00 eV/f.u.
SG: No. 221
calculated formation energy: 1.46 eV/atom
calculated volume: 92 Å³ per cell

Unit cell a=4.5195 b=4.5195 c=4.5195 alpha=90.00 beta=90.00 gamma=90.00
Site moments in Bohr magnetons follow the coordinates.
Atoms (fractional coordinates):
Tc  0.5000  0.0000  0.0000  0.97
Tc  0.0000  0.5000  0.0000  1.08
Tc  0.0000  0.0000  0.5000  1.40
Cu  0.0000  0.0000  0.0000  0.18
In  0.5000  0.5000  0.5000  -0.06

---

4.
Density functional theory data (PBE-GGA) for crystalline Sm3Er5Tl at its relaxed geometry.

Computed properties:
SG: No. 12
calculated formation energy: 0.42 eV/atom
calculated volume: 669 Å³ per cell

Unit cell a=7.7357 b=7.7357 c=11.1934 alpha=89.96 beta=89.96 gamma=92.81
Atoms (fractional coordinates):
Er  0.5065  0.5065  0.7731
Er  0.2957  0.2957  0.9974
Er  0.0008  0.4810  0.8034
Er  0.9992  0.5190  0.1966
Er  0.7043  0.7043  0.0026
Er  0.4935  0.4935  0.2269
Er  0.4810  0.0008  0.8034
Er  0.7154  0.2846  0.0000
Er  0.2846  0.7154  0.0000
Er  0.5190  0.9992  0.1966
Sm  0.0000  0.0000  0.0000
Sm  0.0000  0.0000  0.5000
Sm  0.1577  0.1577  0.2594
Sm  0.3280  0.3280  0.5060
Sm  0.6720  0.6720  0.4940
Sm  0.8423  0.8423  0.7406
Tl  0.1424  0.1424  0.7411
Tl  0.8576  0.8576  0.2589

---

5.
Density functional theory data (PBE-GGA) for crystalline YZr3Sb at its relaxed geometry.

Computed properties:
excess energy over the best structure of this formula in the dataset: 4.06 eV/f.u.
SG: No. 221
calculated volume: 140 Å³ per cell

Unit cell a=5.1895 b=5.1895 c=5.1895 alpha=90.00 beta=90.00 gamma=90.00
Site moments in Bohr magnetons follow the coordinates.
Atoms (fractional coordinates):
Zr  0.0000  0.0000  0.5000  0.15
Zr  0.5000  0.0000  0.0000  0.30
Zr  0.0000  0.5000  0.0000  0.23
Y  0.0000  0.0000  0.0000  0.01
Sb  0.5000  0.5000  0.5000  -0.02

---

6.
Density functional theory data (PBE-GGA) for crystalline Pr2SmTc at its relaxed geometry.

Computed properties:
excess energy over the best structure of this formula in the dataset: 0.00 eV/f.u.
SG: No. 63
calculated formation energy: 0.03 eV/atom
calculated volume: 238 Å³ per cell

Unit cell a=4.0347 b=6.4834 c=9.5822 alpha=90.00 beta=90.00 gamma=108.16
Atoms (fractional coordinates):
Sm  0.0788  0.1576  0.2500
Sm  0.9212  0.8424  0.7500
Tc  0.2617  0.5224  0.7500
Tc  0.7383  0.4776  0.2500
Pr  0.3570  0.7150  0.0699
Pr  0.3570  0.7150  0.4301
Pr  0.6430  0.2850  0.5699
Pr  0.6430  0.2850  0.9301

---

What is the formula in the first record?
Pu2Si6OsPt